First-principles (GGA+U) data for crystalline InFe2F2 at its relaxed geometry, as listed in Alexandria via LeMat-Bulk.

## Properties
Final energy (eV per atom): -4.59
DOS(E_F) (states/eV/cell): 1.92
Density (g/cm3): 5.51

Cell and atoms, written as CIF:
```
data_InFe2F2
_chemical_formula_sum 'In2 Fe4 F4'
_symmetry_space_group_name_H-M 'I 4/m m m'
_symmetry_Int_Tables_number 139
_symmetry_space_group_name_Hall '-I 4 2'
_cell_length_a 3.506
_cell_length_b 3.506
_cell_length_c 12.963
_cell_angle_alpha 90.00
_cell_angle_beta 90.00
_cell_angle_gamma 90.00
loop_
_atom_site_label
_atom_site_fract_x
_atom_site_fract_y
_atom_site_fract_z
In1 0.000 0.000 0.000
Fe1 0.000 0.000 0.352
F1 0.000 0.500 0.250
```